1.
DFT (PBE) results for an optimized crystal structure of Ho6TlIn2.

As for the density of states at the Fermi level: 12.132 states/eV/f.u. The calculation puts the formation energy from the elements at -0.07 eV per atom. The symmetry is Immm (71).

a = 5.1625 Å, b = 7.2936 Å, c = 8.9379 Å
α = 114.08°, β = 106.79°, γ = 90.00°
Last column: nearest neighbours and their distance in Å.
Fractional coordinates of all 9 atoms:
Ho: 0.8332 0.0835 0.6658  3 In 3.16, 1 Tl 3.17
Ho: 0.8332 0.5823 0.6658  3 In 3.16, 1 Tl 3.17
Ho: 0.1668 0.9165 0.3342  3 In 3.16, 1 Tl 3.17
Ho: 0.1668 0.4177 0.3342  3 In 3.16, 1 Tl 3.17
Ho: 0.5000 0.2508 0.0000  2 In 3.15, 2 Tl 3.16
Ho: 0.5000 0.7492 0.0000  2 In 3.15, 2 Tl 3.16
In: 0.6662 0.6666 0.3331  8 Ho 3.15-3.16
In: 0.3338 0.3334 0.6669  8 Ho 3.15-3.16
Tl: 0.0000 0.0000 0.0000  8 Ho 3.16-3.17

=====

2.
DFT (PBE) results for an optimized crystal structure of Ho7TlIn2.

As for the density of states at the Fermi level: 13.131 states/eV/f.u. The calculation puts the formation energy from the elements at -0.10 eV per atom. The symmetry is P3m1 (156).

a = 5.2812 Å, b = 5.2812 Å, c = 12.6200 Å
α = 90.00°, β = 90.00°, γ = 120.00°
Last column: nearest neighbours and their distance in Å.
Fractional coordinates of all 10 atoms:
Tl: 0.0000 0.0000 0.0002  7 Ho 3.07-3.39
Ho: 0.0000 0.0000 0.2689  3 In 3.22, 1 Tl 3.39
Ho: 0.3333 0.6667 0.9737  3 Tl 3.07, 1 In 3.39, 3 Ho 3.43
Ho: 0.3333 0.6667 0.4380  4 In 3.24-3.37, 3 Ho 3.60
Ho: 0.0000 0.0000 0.7255  3 In 3.06
Ho: 0.6667 0.3333 0.5901  1 In 3.01, 1 Ho 3.28
Ho: 0.6667 0.3333 0.8499  8 Ho 3.28-3.43, 3 In 3.55, 3 Tl 3.59
Ho: 0.6667 0.3333 0.1133  1 In 3.01, 1 Ho 3.32, 3 Tl 3.37
In: 0.6667 0.3333 0.3516  8 Ho 3.01-3.24
In: 0.3333 0.6667 0.7054  8 Ho 3.06-3.39

=====

3.
DFT (PBE) results for an optimized crystal structure of Ho12TlIn3.

As for the density of states at the Fermi level: 22.916 states/eV/f.u. The calculation puts the formation energy from the elements at -0.24 eV per atom. The symmetry is P4/mmm (123).

a = 4.8196 Å, b = 4.8196 Å, c = 19.3233 Å
α = 90.00°, β = 90.00°, γ = 90.00°
Last column: nearest neighbours and their distance in Å.
Fractional coordinates of all 16 atoms:
In: 0.0000 0.0000 0.2502  12 Ho 3.40-3.41
In: 0.0000 0.0000 0.7498  12 Ho 3.40-3.41
In: 0.0000 0.0000 0.5000  12 Ho 3.41
Ho: 0.0000 0.5000 0.1259  2 In 3.40, 8 Ho 3.40-3.42, 2 Tl 3.42
Ho: 0.5000 0.5000 0.5000  4 In 3.41, 8 Ho 3.41
Ho: 0.0000 0.5000 0.6249  8 Ho 3.41, 4 In 3.41
Ho: 0.5000 0.0000 0.8741  2 In 3.40, 8 Ho 3.40-3.42, 2 Tl 3.42
Ho: 0.0000 0.5000 0.3751  8 Ho 3.41, 4 In 3.41
Ho: 0.5000 0.5000 0.2502  8 Ho 3.40-3.41, 4 In 3.41
Ho: 0.5000 0.5000 0.7498  8 Ho 3.40-3.41, 4 In 3.41
Ho: 0.5000 0.5000 0.0000  4 Tl 3.41, 8 Ho 3.42
Ho: 0.5000 0.0000 0.3751  8 Ho 3.41, 4 In 3.41
Ho: 0.5000 0.0000 0.6249  8 Ho 3.41, 4 In 3.41
Ho: 0.5000 0.0000 0.1259  2 In 3.40, 8 Ho 3.40-3.42, 2 Tl 3.42
Ho: 0.0000 0.5000 0.8741  2 In 3.40, 8 Ho 3.40-3.42, 2 Tl 3.42
Tl: 0.0000 0.0000 0.0000  12 Ho 3.41-3.42

=====

4.
DFT (PBE) results for an optimized crystal structure of HoTlIn.

As for the density of states at the Fermi level: 2.290 states/eV/f.u. The calculation puts the formation energy from the elements at -0.07 eV per atom. For the distance to the lowest polymorph of the same formula, the calculation gives 0.58 eV/f.u. The symmetry is F-43m (216).

a = 7.0584 Å, b = 7.0584 Å, c = 7.0584 Å
α = 90.00°, β = 90.00°, γ = 90.00°
Last column: nearest neighbours and their distance in Å.
Fractional coordinates of all 12 atoms:
Ho: 0.9999 0.9999 0.9999  4 Tl 3.06
Ho: 0.0001 0.4999 0.5001  4 Tl 3.06
Ho: 0.4999 0.5001 0.0001  4 Tl 3.06
Ho: 0.5001 0.0001 0.4999  4 Tl 3.06
Tl: 0.7498 0.2502 0.7502  4 Ho 3.06, 4 In 3.06
Tl: 0.7502 0.7498 0.2502  4 Ho 3.06, 4 In 3.06
Tl: 0.2502 0.7502 0.7498  4 Ho 3.06, 4 In 3.06
Tl: 0.2498 0.2498 0.2498  4 Ho 3.06, 4 In 3.06
In: 0.0002 0.5002 0.9998  4 Tl 3.06
In: 0.4998 0.4998 0.4998  4 Tl 3.06
In: 0.9998 0.0002 0.5002  4 Tl 3.06
In: 0.5002 0.9998 0.0002  4 Tl 3.06

=====

5.
DFT (PBE) results for an optimized crystal structure of Ho2TlIn9.

As for the density of states at the Fermi level: 6.018 states/eV/f.u. The calculation puts the formation energy from the elements at -0.22 eV per atom. The symmetry is P4/mmm (123).

a = 4.6407 Å, b = 4.6407 Å, c = 14.5223 Å
α = 90.00°, β = 90.00°, γ = 90.00°
Last column: nearest neighbours and their distance in Å.
Fractional coordinates of all 12 atoms:
In: 0.5000 0.0000 0.5000  4 Ho 3.26, 8 In 3.28-3.30
In: 0.0000 0.5000 0.8222  8 In 3.28-3.47, 2 Ho 3.33, 2 Tl 3.47
In: 0.5000 0.0000 0.8222  8 In 3.28-3.47, 2 Ho 3.33, 2 Tl 3.47
In: 0.0000 0.5000 0.1778  8 In 3.28-3.47, 2 Ho 3.33, 2 Tl 3.47
In: 0.5000 0.5000 0.0000  4 Tl 3.28, 8 In 3.47
In: 0.5000 0.5000 0.3383  4 Ho 3.28, 8 In 3.29-3.30
In: 0.5000 0.5000 0.6617  4 Ho 3.28, 8 In 3.29-3.30
In: 0.5000 0.0000 0.1778  8 In 3.28-3.47, 2 Ho 3.33, 2 Tl 3.47
In: 0.0000 0.5000 0.5000  4 Ho 3.26, 8 In 3.28-3.30
Ho: 0.0000 0.0000 0.3427  12 In 3.26-3.33
Ho: 0.0000 0.0000 0.6573  12 In 3.26-3.33
Tl: 0.0000 0.0000 0.0000  12 In 3.28-3.47

=====

6.
DFT (PBE) results for an optimized crystal structure of Ho3Tl2In2.

As for the density of states at the Fermi level: 5.599 states/eV/f.u. The calculation puts the formation energy from the elements at -0.28 eV per atom. For the distance to the lowest polymorph of the same formula, the calculation gives 0.43 eV/f.u. The symmetry is Immm (71).

a = 4.8826 Å, b = 3.6457 Å, c = 11.0651 Å
α = 99.48°, β = 102.75°, γ = 90.00°
Last column: nearest neighbours and their distance in Å.
Fractional coordinates of all 7 atoms:
In: 0.1512 0.6512 0.3024  2 Tl 3.00, 5 Ho 3.16-3.22
In: 0.8488 0.3488 0.6976  2 Tl 3.00, 5 Ho 3.16-3.22
Ho: 0.2999 0.7999 0.5998  5 In 3.16-3.22, 2 Tl 3.32
Ho: 0.0000 0.0000 0.0000  8 Tl 3.39, 2 Ho 3.65, 4 In 3.70
Ho: 0.7001 0.2001 0.4002  5 In 3.16-3.22, 2 Tl 3.32
Tl: 0.4306 0.4306 0.8611  1 Tl 2.95, 2 In 3.00
Tl: 0.5694 0.5694 0.1389  1 Tl 2.95, 2 In 3.00

=====

7.
DFT (PBE) results for an optimized crystal structure of Ho11Tl4In9.

As for the density of states at the Fermi level: 14.843 states/eV/f.u. The calculation puts the formation energy from the elements at -0.37 eV per atom. The symmetry is Cmmm (65).

a = 3.5898 Å, b = 13.8362 Å, c = 13.8362 Å
α = 111.49°, β = 90.00°, γ = 90.00°
Last column: nearest neighbours and their distance in Å.
Fractional coordinates of all 24 atoms:
In: 0.5000 0.3894 0.8369  1 Tl 3.22, 8 Ho 3.26-3.39, 3 In 3.53-3.59
In: 0.5000 0.0150 0.1986  8 Ho 3.22-3.34, 3 In 3.33-3.59, 1 Tl 3.57
In: 0.5000 0.1986 0.0150  8 Ho 3.22-3.34, 3 In 3.33-3.59, 1 Tl 3.57
In: 0.5000 0.1631 0.6106  1 Tl 3.22, 8 Ho 3.26-3.39, 3 In 3.53-3.59
In: 0.5000 0.5000 0.5000  4 Tl 3.24, 4 Ho 3.36, 2 In 3.59
In: 0.5000 0.8014 0.9850  8 Ho 3.22-3.34, 3 In 3.33-3.59, 1 Tl 3.57
In: 0.5000 0.9850 0.8014  8 Ho 3.22-3.34, 3 In 3.33-3.59, 1 Tl 3.57
In: 0.5000 0.8369 0.3894  1 Tl 3.22, 8 Ho 3.26-3.39, 3 In 3.53-3.59
In: 0.5000 0.6106 0.1631  1 Tl 3.22, 8 Ho 3.26-3.39, 3 In 3.53-3.59
Tl: 0.5000 0.4234 0.2486  6 Ho 3.17-3.25, 2 In 3.22-3.24
Tl: 0.5000 0.5766 0.7514  6 Ho 3.17-3.25, 2 In 3.22-3.24
Tl: 0.5000 0.2486 0.4234  6 Ho 3.17-3.25, 2 In 3.22-3.24
Tl: 0.5000 0.7514 0.5766  6 Ho 3.17-3.25, 2 In 3.22-3.24
Ho: 0.0000 0.0460 0.4020  6 In 3.23-3.35, 2 Tl 3.25, 4 Ho 3.39-3.59
Ho: 0.0000 0.6243 0.3757  4 Tl 3.23, 6 In 3.36-3.39, 2 Ho 3.59
Ho: 0.0000 0.0000 0.0000  8 In 3.22, 4 Ho 3.54-3.59
Ho: 0.0000 0.2275 0.2275  4 Tl 3.17, 4 In 3.34, 1 Ho 3.54
Ho: 0.0000 0.3757 0.6243  4 Tl 3.23, 6 In 3.36-3.39, 2 Ho 3.59
Ho: 0.0000 0.4020 0.0460  6 In 3.23-3.35, 2 Tl 3.25, 4 Ho 3.39-3.59
Ho: 0.0000 0.8143 0.1857  8 In 3.26, 4 Ho 3.49-3.59
Ho: 0.0000 0.7725 0.7725  4 Tl 3.17, 4 In 3.34, 1 Ho 3.54
Ho: 0.0000 0.1857 0.8143  8 In 3.26, 4 Ho 3.49-3.59
Ho: 0.0000 0.5980 0.9540  6 In 3.23-3.35, 2 Tl 3.25, 4 Ho 3.39-3.59
Ho: 0.0000 0.9540 0.5980  6 In 3.23-3.35, 2 Tl 3.25, 4 Ho 3.39-3.59

=====

8.
DFT (PBE) results for an optimized crystal structure of HoTlIn.

As for the density of states at the Fermi level: 2.528 states/eV/f.u. The calculation puts the formation energy from the elements at -0.18 eV per atom. For the distance to the lowest polymorph of the same formula, the calculation gives 0.25 eV/f.u. The symmetry is I4mm (107).

a = 3.5856 Å, b = 3.5856 Å, c = 6.7761 Å
α = 105.34°, β = 105.34°, γ = 90.00°
Last column: nearest neighbours and their distance in Å.
Fractional coordinates of all 3 atoms:
Ho: 0.9539 0.9539 0.9078  4 In 3.25, 4 Tl 3.35, 4 Ho 3.59
Tl: 0.2798 0.2798 0.5596  4 In 3.26, 4 Ho 3.35, 4 Tl 3.59
In: 0.6163 0.6163 0.2326  4 Ho 3.25, 4 Tl 3.26, 4 In 3.59

=====

9.
DFT (PBE) results for an optimized crystal structure of Ho3TlIn2.

As for the density of states at the Fermi level: 3.278 states/eV/f.u. The calculation puts the formation energy from the elements at -0.41 eV per atom. The symmetry is P4/mmm (123).

a = 3.6395 Å, b = 3.6395 Å, c = 12.0406 Å
α = 90.00°, β = 90.00°, γ = 90.00°
Last column: nearest neighbours and their distance in Å.
Fractional coordinates of all 6 atoms:
Tl: 0.5000 0.5000 0.5000  8 Ho 3.29, 4 Tl 3.64
Ho: 0.0000 0.0000 0.0000  8 In 3.26, 4 Ho 3.64
Ho: 0.0000 0.0000 0.3303  4 In 3.25, 4 Tl 3.29
Ho: 0.0000 0.0000 0.6697  4 In 3.25, 4 Tl 3.29
In: 0.5000 0.5000 0.8340  8 Ho 3.25-3.26
In: 0.5000 0.5000 0.1660  8 Ho 3.25-3.26

=====

10.
DFT (PBE) results for an optimized crystal structure of HoTlIn.

As for the density of states at the Fermi level: 2.157 states/eV/f.u. The calculation puts the formation energy from the elements at 0.00 eV per atom. For the distance to the lowest polymorph of the same formula, the calculation gives 0.79 eV/f.u. The symmetry is Fddd (70).

a = 6.7809 Å, b = 6.7809 Å, c = 11.1648 Å
α = 116.27°, β = 116.27°, γ = 62.77°
Last column: nearest neighbours and their distance in Å.
Fractional coordinates of all 12 atoms:
Tl: 0.6250 0.3750 0.2500  2 In 3.02
Tl: 0.6250 0.3750 0.7500  2 In 3.02
Tl: 0.1250 0.3750 0.7500  2 In 3.02
Tl: 0.6250 0.8750 0.2500  2 In 3.02
Ho: 0.1747 0.1747 0.0000  4 In 3.10-3.13, 2 Tl 3.44
Ho: 0.0753 0.5753 0.5000  4 In 3.10-3.13, 2 Tl 3.44
Ho: 0.8253 0.8253 0.0000  4 In 3.10-3.13, 2 Tl 3.44
Ho: 0.4247 0.9247 0.5000  4 In 3.10-3.13, 2 Tl 3.44
In: 0.1248 0.1248 0.2496  2 Tl 3.02, 4 Ho 3.10-3.13
In: 0.8752 0.8752 0.7504  2 Tl 3.02, 4 Ho 3.10-3.13
In: 0.3748 0.8748 0.7496  2 Tl 3.02, 4 Ho 3.10-3.13
In: 0.1252 0.6252 0.2504  2 Tl 3.02, 4 Ho 3.10-3.13

=====

11.
DFT (PBE) results for an optimized crystal structure of Ho8Tl3In4.

As for the density of states at the Fermi level: 13.695 states/eV/f.u. The calculation puts the formation energy from the elements at -0.15 eV per atom. The symmetry is C2/m (12).

a = 10.5545 Å, b = 8.8451 Å, c = 8.8451 Å
α = 89.59°, β = 126.58°, γ = 126.58°
Last column: nearest neighbours and their distance in Å.
Fractional coordinates of all 15 atoms:
Ho: 0.5000 0.7497 0.2503  3 Tl 3.11-3.14, 3 In 3.12-3.14
Ho: 0.9956 0.2527 0.2527  4 In 3.09-3.21, 1 Tl 3.20, 2 Ho 3.37-3.44
Ho: 0.4911 0.7477 0.7477  2 In 3.09-3.21, 3 Tl 3.12-3.19, 2 Ho 3.37-3.44
Ho: 0.0044 0.7473 0.7473  4 In 3.09-3.21, 1 Tl 3.20, 2 Ho 3.37-3.44
Ho: 0.5089 0.2523 0.2523  2 In 3.09-3.21, 3 Tl 3.12-3.19, 2 Ho 3.37-3.44
Ho: 0.0000 0.3506 0.6494  2 In 3.38, 2 Tl 3.38, 7 Ho 3.59-3.72
Ho: 0.5000 0.2503 0.7497  3 Tl 3.11-3.14, 3 In 3.12-3.14
Ho: 0.0000 0.6494 0.3506  2 In 3.38, 2 Tl 3.38, 7 Ho 3.59-3.72
In: 0.0000 0.0000 0.0000  4 Ho 3.21, 2 Tl 3.41
In: 0.5000 0.0000 0.0000  6 Ho 3.09-3.12
In: 0.0000 0.0000 0.5000  6 Ho 3.12-3.38, 2 Tl 3.41
In: 0.0000 0.5000 0.0000  6 Ho 3.12-3.38, 2 Tl 3.41
Tl: 0.5000 0.5000 0.5000  6 Ho 3.11-3.20, 2 In 3.41
Tl: 0.5000 0.0000 0.5000  6 Ho 3.12-3.38, 2 In 3.41
Tl: 0.5000 0.5000 0.0000  6 Ho 3.12-3.38, 2 In 3.41

=====

12.
DFT (PBE) results for an optimized crystal structure of Ho2TlIn.

As for the density of states at the Fermi level: 2.351 states/eV/f.u. The calculation puts the formation energy from the elements at -0.39 eV per atom. The symmetry is Cmmm (65).

a = 3.5635 Å, b = 5.5057 Å, c = 5.5057 Å
α = 100.43°, β = 90.01°, γ = 90.01°
Last column: nearest neighbours and their distance in Å.
Fractional coordinates of all 4 atoms:
Tl: 0.5000 0.0000 0.0000  8 Ho 3.28, 2 In 3.52, 2 Tl 3.56
In: 0.5000 0.5000 0.5000  8 Ho 3.28, 2 Tl 3.52, 2 In 3.56
Ho: 0.0000 0.0000 0.5000  4 Tl 3.28, 4 In 3.28, 4 Ho 3.52-3.56
Ho: 0.0000 0.5000 0.0000  4 In 3.28, 4 Tl 3.28, 4 Ho 3.52-3.56

=====

Which value of formation energy from the elements does entry 2 give?
-0.10 eV per atom

=====

formation energy from the elements of number 5 (Ho2TlIn9)?
-0.22 eV per atom

=====

Which of these has the lowest formation energy from the elements?
Ho3TlIn2